The following is a DFT calculation (PBE-GGA) of a geometry-optimized TcBP3 structure.

a b c (Å): 4.5985 4.5985 4.5985
angles (deg): 90.00 90.00 90.00
Fractional positions:
1 Tc 0.0000 0.0000 0.0000
2 B 0.5000 0.5000 0.5000
3 P 0.0000 0.0000 0.5000
4 P 0.0000 0.5000 0.0000
5 P 0.5000 0.0000 0.0000

Volume   97.2 Å³ per cell
ΔE to the lowest computed polymorph   2.38 eV per formula unit
Density   3.4 g/cm³
SG   Pm-3m (221)